Material: NaY6O8
Method: DFT, PBE-GGA
State: relaxed

Output
* calculated total energy: -8.30 eV per atom
* formation energy from raw total energies: -2.986 eV/atom

Lattice parameters (Å, degrees): 10.1392 10.1392 9.6130 90.00 90.00 120.00
Space group R-3 (No. 148, hexagonal axes)
Symmetry-distinct sites (fractional):
Na  0.0000  0.0000  0.0000 x3
Y  0.0235  0.8115  0.6504 x18
O  0.0000  0.0000  0.2600 x6
O  0.0309  0.7817  0.4193 x18